[1]
An optimized crystal structure of ZnTcSb2. Source: the Alexandria database, functional PBE-GGA.

Cell and atoms, written as POSCAR:
```
ZnTcSb2
1.0
5.496 0.016 0.000
2.410 4.940 0.000
-3.953 -2.478 2.906
Sb Tc Zn
2 1 1
direct
0.000 0.000 0.000
0.250 0.750 0.500
0.500 0.500 0.000
0.750 0.250 0.500
```

Summary:
Raw total energy ... -17.89 eV/cell
M_tot ... 0.1530 μB/atom
Uncorrected formation energy ... 192 kJ/mol of formula units
Density of states at the Fermi level ... 4.69 states/eV/cell

[2]
An optimized crystal structure of Zn2TcSb. Source: the Alexandria database, functional PBE-GGA.

Cell and atoms, written as POSCAR:
```
Zn2TcSb
1.0
-7.696 3.519 -1.408
-8.516 0.995 0.312
-7.566 3.647 1.749
Zn Tc Sb
2 1 1
direct
0.257 0.257 0.257
0.003 0.003 0.003
0.748 0.748 0.748
0.492 0.492 0.492
```

Summary:
Raw total energy ... -16.07 eV/cell
M_tot ... 0.0002 μB/atom
Uncorrected formation energy ... 93 kJ/mol of formula units
Density of states at the Fermi level ... 3.92 states/eV/cell

[3]
An optimized crystal structure of Zn2TcSb. Source: the Alexandria database, functional PBE-GGA.

Cell and atoms, written as POSCAR:
```
Zn2TcSb
1.0
5.017 0.000 0.000
0.000 3.002 -0.005
0.000 -0.301 4.600
Zn Sb Tc
2 1 1
direct
0.000 0.006 0.985
0.000 0.494 0.515
0.500 0.250 0.250
0.500 0.750 0.750
```

Summary:
Raw total energy ... -15.95 eV/cell
M_tot ... 0.0000 μB/atom
Uncorrected formation energy ... 105 kJ/mol of formula units
Density of states at the Fermi level ... 2.28 states/eV/cell

[4]
An optimized crystal structure of Zr2TcSb. Source: the Alexandria database, functional PBE-GGA.

Cell and atoms, written as POSCAR:
```
Zr2TcSb
1.0
3.293 -0.018 0.000
-0.328 3.277 0.000
0.000 0.000 7.770
Tc Zr Sb
1 2 1
direct
0.500 0.500 0.750
0.000 0.000 0.959
0.000 0.000 0.541
0.500 0.500 0.250
```

Summary:
Raw total energy ... -32.96 eV/cell
M_tot ... 0.0000 μB/atom
Uncorrected formation energy ... -133 kJ/mol of formula units
Density of states at the Fermi level ... 3.11 states/eV/cell